# 1
Here is a geometry-optimized SrP12Au4 structure from Alexandria via LeMat-Bulk. Energies are from GGA-PBE.

Cell lengths 7.203, 7.204, 7.206 Å; angles 103.52, 103.62, 103.44 degrees
Fractional positions:
Sr 0.000 0.000 0.000
P 0.086 0.620 0.732
P 0.148 0.370 0.526
P 0.268 0.914 0.379
P 0.370 0.525 0.147
P 0.380 0.268 0.914
P 0.475 0.853 0.630
P 0.525 0.147 0.370
P 0.620 0.732 0.086
P 0.630 0.475 0.853
P 0.732 0.086 0.621
P 0.852 0.630 0.474
P 0.914 0.380 0.268
Au 0.000 0.000 0.500
Au 0.000 0.500 0.000
Au 0.500 0.000 0.000
Au 0.500 0.500 0.500

Formation enthalpy at 0 K in meV/atom: -29
Total moment in μB/cell: 0.000



# 2
Here is a geometry-optimized KAg2As structure from Alexandria via LeMat-Bulk. Energies are from GGA-PBE.

Cell lengths 4.698, 4.698, 17.483 Å; angles 90.00, 90.00, 120.00 degrees
Fractional positions:
K 0.000 0.000 0.000
K 0.333 0.667 0.667
K 0.667 0.333 0.333
Ag 0.000 0.000 0.191
Ag 0.000 0.000 0.809
Ag 0.333 0.667 0.476
Ag 0.333 0.667 0.858
Ag 0.667 0.333 0.142
Ag 0.667 0.333 0.524
As 0.000 0.000 0.500
As 0.333 0.667 0.167
As 0.667 0.333 0.833

Formation enthalpy at 0 K in meV/atom: -102
Total moment in μB/cell: 0.000



# 3
Here is a geometry-optimized InBi3N structure from Alexandria via LeMat-Bulk. Energies are from GGA-PBE.

Cell lengths 5.714, 5.714, 5.714 Å; angles 90.00, 90.00, 90.00 degrees
Fractional positions:
In 0.000 0.000 0.000
Bi 0.000 0.000 0.500
Bi 0.000 0.500 0.000
Bi 0.500 0.000 0.000
N 0.500 0.500 0.500

Total moment in μB/cell: 0.000
Formation energy from raw total energies in eV per atom: 1.898